# 1
The following is a DFT calculation (GGA-PBE) of an optimized crystal structure of ZnIn2Cl.

Values from the calculation:
DOS(E_F) ... 0.405 states/eV/atom
VASP energy ... -2.293 eV per atom
Total magnetization ... 0.00 μB/cell

Lattice parameters (Å, degrees): 4.7398 4.7398 9.1211 90.00 90.00 90.00
Last column: nearest neighbours and their distance in Å.
Space group I4/mmm (No. 139)
Unique sites:
Zn (0.0000, 0.0000, 0.0000) [2 per cell]  8 In 3.29, 4 Cl 3.35
In (0.0000, 0.5000, 0.2500) [4 per cell]  4 Zn 3.29, 4 Cl 3.29, 4 In 3.35
Cl (0.0000, 0.0000, 0.5000) [2 per cell]  8 In 3.29, 4 Zn 3.35


# 2
The following is a DFT calculation (GGA-PBE) of an optimized crystal structure of DyAs2Rh5.

Values from the calculation:
Formation energy from the elements ... -0.6213 eV/atom
DOS(E_F) ... 0.676 states/eV/atom
Total magnetization ... 0.00 μB/cell

Lattice parameters (Å, degrees): 3.8925 7.0163 9.6998 90.00 90.00 90.00
Last column: nearest neighbours and their distance in Å.
Space group Immm (No. 71)
Unique sites:
Dy (0.0000, 0.0000, 0.0000) [2 per cell]  4 As 3.13, 8 Rh 3.19
As (0.0000, 0.5000, 0.2477) [4 per cell]  7 Rh 2.36-2.60
Rh (0.0000, 0.1990, 0.3565) [8 per cell]  3 As 2.36-2.60
Rh (0.0000, 0.5000, 0.0000) [2 per cell]  2 As 2.40


# 3
The following is a DFT calculation (GGA-PBE) of an optimized crystal structure of Ho2Al3SiPt4.

Values from the calculation:
DOS(E_F) ... 0.326 states/eV/atom
VASP energy ... -6.108 eV per atom
Total magnetization ... 0.00 μB/cell

Lattice parameters (Å, degrees): 4.1309 4.1309 10.5628 90.00 90.00 90.00
Last column: nearest neighbours and their distance in Å.
Space group P-4m2 (No. 115)
Unique sites:
Ho (0.0000, 0.5000, 0.2404) [2 per cell]  8 Pt 3.14-3.43, 6 Al 3.20-3.27, 2 Si 3.27
Al (0.0000, 0.0000, 0.0000) [1 per cell]  4 Pt 2.49
Al (0.0000, 0.5000, 0.6355) [2 per cell]  5 Pt 2.45-2.51
Si (0.5000, 0.5000, 0.0000) [1 per cell]  4 Pt 2.49
Pt (0.0000, 0.0000, 0.5000) [1 per cell]  4 Al 2.51
Pt (0.0000, 0.5000, 0.8678) [2 per cell]  3 Al 2.45-2.49, 2 Si 2.49
Pt (0.5000, 0.5000, 0.5000) [1 per cell]  4 Al 2.51